Record 1
A plane-wave DFT calculation with PBE-GGA was carried out for a geometry-optimized RbPmPt2O8 structure.

The calculation puts the total DFT energy (no corrections) at -5.514 eV per atom. The total moment is 0.000 μB/atom. The calculation puts the volume at 18.768 Å³/atom.

Cell: 5.8572 5.8572 7.5802 Å, 90.00 90.00 120.00°
Atoms (fractional coordinates):
Rb (0.0000, 0.0000, 0.0000)
Pm (0.0000, 0.0000, 0.5000)
Pt (0.3333, 0.6667, 0.4583)
Pt (0.6667, 0.3333, 0.5417)
O (0.0662, 0.3949, 0.6211)
O (0.3287, 0.9338, 0.6211)
O (0.3333, 0.6667, 0.2140)
O (0.3949, 0.3287, 0.3789)
O (0.6051, 0.6713, 0.6211)
O (0.6667, 0.3333, 0.7860)
O (0.6713, 0.0662, 0.3789)
O (0.9338, 0.6051, 0.3789)

***

Record 2
A plane-wave DFT calculation with PBE-GGA was carried out for a geometry-optimized RbPmPtO4 structure.

The calculation puts the total DFT energy (no corrections) at -6.161 eV per atom. The total moment is 0.000 μB/atom. The calculation puts the volume at 16.904 Å³/atom.

Cell: 6.9061 6.9061 6.9061 Å, 122.53 114.34 92.88°
Atoms (fractional coordinates):
Rb (0.3940, 0.1440, 0.2500)
Rb (0.6060, 0.8560, 0.7500)
Pm (0.0000, 0.5000, 0.5000)
Pm (0.5000, 0.5000, 0.0000)
Pt (0.0000, 0.0000, 0.5000)
Pt (0.0000, 0.5000, 0.0000)
O (0.1687, 0.7481, 0.4206)
O (0.1726, 0.2519, 0.9206)
O (0.2188, 0.2547, 0.5358)
O (0.2188, 0.6830, 0.9642)
O (0.7812, 0.3170, 0.0358)
O (0.7812, 0.7453, 0.4642)
O (0.8274, 0.7481, 0.0794)
O (0.8313, 0.2519, 0.5794)